Entry 1:
Compound: AlCdO3
Source: the Alexandria database
Functional: PBE
Structure: optimized geometry

Summary:
For the uncorrected formation energy, the calculation gives -1.58 eV per atom.

a = 9.795 Å, b = 9.795 Å, c = 9.795 Å
α = 90.00°, β = 90.00°, γ = 90.00°
Space group Fd-3m (No. 227, origin choice 2)
Asymmetric unit:
Al1 0.000 0.000 0.000 [16 per cell]
Cd1 0.000 0.000 0.500 [16 per cell]
O1 0.082 0.375 0.375 [48 per cell]

---

Entry 2:
Compound: La2PmPd9
Source: the Alexandria database
Functional: PBE
Structure: optimized geometry

Summary:
For the formation energy, the calculation gives -711.9 meV per atom.

a = 5.4358 Å, b = 5.4358 Å, c = 27.3601 Å
α = 90.00°, β = 90.00°, γ = 120.00°
Space group R-3m (No. 166, hexagonal axes)
Asymmetric unit:
La1 0.0000 0.0000 0.1375 [6 per cell]
Pm1 0.0000 0.0000 0.0000 [3 per cell]
Pd1 0.0000 0.0000 0.3330 [6 per cell]
Pd2 0.0000 0.0000 0.5000 [3 per cell]
Pd3 0.0020 0.5010 0.9163 [18 per cell]

---

Entry 3:
Compound: BaCePO6
Source: the Alexandria database
Functional: PBE
Structure: optimized geometry

Summary:
For the uncorrected formation energy, the calculation gives -2.39 eV per atom.

a = 5.4409 Å, b = 5.4409 Å, c = 5.5661 Å
α = 90.00°, β = 90.00°, γ = 120.00°
Space group P312 (No. 149)
Asymmetric unit:
Ba1 0.0000 0.0000 0.0000 [1 per cell]
Ce1 0.3333 0.6667 0.5000 [1 per cell]
P1 0.6667 0.3333 0.5000 [1 per cell]
O1 0.4130 0.0700 0.6797 [6 per cell]

---

Entry 4:
Compound: TbCu5Hg
Source: the Alexandria database
Functional: PBE
Structure: optimized geometry

Summary:
For the formation energy, the calculation gives -173.7 meV per atom.

a = 8.290 Å, b = 5.034 Å, c = 10.522 Å
α = 90.00°, β = 90.00°, γ = 90.00°
Space group Pnma (No. 62)
Asymmetric unit:
Tb1 0.246 0.250 0.066 [4 per cell]
Cu1 0.054 0.750 0.109 [4 per cell]
Cu2 0.069 0.001 0.314 [8 per cell]
Cu3 0.081 0.250 0.516 [4 per cell]
Cu4 0.186 0.250 0.740 [4 per cell]
Hg1 0.135 0.750 0.865 [4 per cell]

---

Number 1: E -5.489 eV/atom. Number 2: E -5.824 eV/atom. Number 3: E -7.174 eV/atom. Number 4: E -3.804 eV/atom.